Entry from Alexandria via LeMat-Bulk: Na2AuCl at its PBEsol-relaxed geometry (meta-GGA SCAN).

Cell and atoms, written as POSCAR:
```
Na2AuCl
1.0
4.993 0.000 0.000
2.497 4.324 0.000
2.497 1.441 4.077
Na Au Cl
2 1 1
direct
0.250 0.250 0.250
0.750 0.750 0.750
0.500 0.500 0.500
0.000 0.000 0.000
```

Output
The value obtained for the formation energy (no corrections) is -3.95 eV/f.u. The symmetry is Fm-3m (225). The theoretical density is 5251 kg/m³. The volume is 88 Å³ per cell.